Record 1
Entry from Alexandria: a relaxed Li2Ge2Rh crystal (GGA-PBEsol).

The energy of formation comes out at -0.3701 eV per atom. Its density of states at the Fermi level is 1.8 states/eV/f.u. As for the crystal system: tetragonal. Its volume is 144 Å³ per cell. The calculation puts the total moment at 0.0 μB per formula unit.

Lattice parameters (Å, degrees): 6.4093 6.4093 3.4953 90.00 90.00 90.00
Closest atoms and distances in Å follow each position.
Space group P4/mbm (No. 127)
One atom of each set of equivalent atoms:
Li 0.1668 0.3332 0.0000 [4 per cell]  6 Ge 2.48-2.63
Ge 0.1389 0.6389 0.5000 [4 per cell]  2 Rh 2.48, 6 Li 2.48-2.63, 1 Ge 2.52
Rh 0.0000 0.0000 0.5000 [2 per cell]  4 Ge 2.48



Record 2
Entry from Alexandria: a relaxed LiGe2Ru crystal (GGA-PBEsol).

The energy of formation comes out at -0.2429 eV per atom. Its density of states at the Fermi level is 1.5 states/eV/f.u. As for the crystal system: cubic. Its volume is 219 Å³ per cell. The calculation puts the total moment at 0.0 μB per formula unit.

Lattice parameters (Å, degrees): 6.0322 6.0322 6.0322 90.00 90.00 90.00
Closest atoms and distances in Å follow each position.
Space group Fm-3m (No. 225)
One atom of each set of equivalent atoms:
Li 0.0000 0.0000 0.0000 [4 per cell]  8 Ge 2.61
Ge 0.2500 0.2500 0.2500 [8 per cell]  4 Li 2.61, 4 Ru 2.61
Ru 0.0000 0.0000 0.5000 [4 per cell]  8 Ge 2.61



Record 3
Entry from Alexandria: a relaxed Li3GeRu crystal (GGA-PBEsol).

The energy of formation comes out at 0.9348 eV per atom. Its density of states at the Fermi level is 4.1 states/eV/f.u. As for the crystal system: cubic. Its volume is 88 Å³ per cell. The calculation puts the total moment at 0.0 μB per formula unit.

Lattice parameters (Å, degrees): 4.4473 4.4473 4.4473 90.00 90.00 90.00
Closest atoms and distances in Å follow each position.
Space group Pm-3m (No. 221)
One atom of each set of equivalent atoms:
Li 0.0000 0.0000 0.5000 [3 per cell]  2 Ru 2.22
Ge 0.5000 0.5000 0.5000 [1 per cell]  12 Li 3.14
Ru 0.0000 0.0000 0.0000 [1 per cell]  6 Li 2.22



Record 4
Entry from Alexandria: a relaxed LiGeS3 crystal (GGA-PBEsol).

Its density of states at the Fermi level is 3.5 states/eV/f.u. The final energy is -20.14 eV per cell. As for the crystal system: cubic. Its volume is 104 Å³ per cell. The calculation puts the total moment at 0.0 μB per formula unit.

Lattice parameters (Å, degrees): 4.7034 4.7034 4.7034 90.00 90.00 90.00
Closest atoms and distances in Å follow each position.
Space group Pm-3m (No. 221)
One atom of each set of equivalent atoms:
Li 0.0000 0.0000 0.0000 [1 per cell]  12 S 3.33
Ge 0.5000 0.5000 0.5000 [1 per cell]  6 S 2.35
S 0.0000 0.5000 0.5000 [3 per cell]  2 Ge 2.35



Record 5
Entry from Alexandria: a relaxed LiGeSb3 crystal (GGA-PBEsol).

Its density of states at the Fermi level is 3.8 states/eV/f.u. The final energy is -18.20 eV per cell. As for the crystal system: cubic. Its volume is 152 Å³ per cell. The calculation puts the total moment at 0.0 μB per formula unit.

Lattice parameters (Å, degrees): 5.3384 5.3384 5.3384 90.00 90.00 90.00
Closest atoms and distances in Å follow each position.
Space group Pm-3m (No. 221)
One atom of each set of equivalent atoms:
Li 0.0000 0.0000 0.0000 [1 per cell]  12 Sb 3.77
Ge 0.5000 0.5000 0.5000 [1 per cell]  6 Sb 2.67
Sb 0.0000 0.5000 0.5000 [3 per cell]  2 Ge 2.67



Record 6
Entry from Alexandria: a relaxed Li2GeSb crystal (GGA-PBEsol).

Its density of states at the Fermi level is 1.2 states/eV/f.u. The final energy is -57.12 eV per cell. As for the crystal system: tetragonal. Its volume is 316 Å³ per cell. The calculation puts the total moment at 0.0 μB per formula unit.

Lattice parameters (Å, degrees): 4.1386 4.1386 18.4410 90.00 90.00 90.00
Closest atoms and distances in Å follow each position.
Space group I-42d (No. 122)
One atom of each set of equivalent atoms:
Li 0.2318 0.2500 0.1250 [8 per cell]  2 Ge 2.70, 2 Sb 2.76, 2 Li 2.82
Ge 0.0000 0.0000 0.0000 [4 per cell]  4 Li 2.70, 4 Sb 2.93
Sb 0.0000 0.0000 0.5000 [4 per cell]  4 Li 2.76, 4 Ge 2.93



Record 7
Entry from Alexandria: a relaxed Li2ScGe2 crystal (GGA-PBEsol).

The energy of formation comes out at -0.5188 eV per atom. Its density of states at the Fermi level is 1.5 states/eV/f.u. As for the crystal system: tetragonal. Its volume is 166 Å³ per cell. The calculation puts the total moment at 0.0 μB per formula unit.

Lattice parameters (Å, degrees): 3.7983 3.7983 11.5031 90.00 90.00 90.00
Closest atoms and distances in Å follow each position.
Space group I4/mmm (No. 139)
One atom of each set of equivalent atoms:
Li 0.0000 0.5000 0.2500 [4 per cell]  4 Ge 2.54, 4 Li 2.69
Sc 0.0000 0.0000 0.0000 [2 per cell]  8 Ge 2.94
Ge 0.0000 0.0000 0.3965 [4 per cell]  1 Ge 2.38, 4 Li 2.54



Record 8
Entry from Alexandria: a relaxed LiScTl2Ge crystal (GGA-PBEsol).

The energy of formation comes out at 0.2559 eV per atom. Its density of states at the Fermi level is 3.0 states/eV/f.u. As for the crystal system: tetragonal. Its volume is 146 Å³ per cell. The calculation puts the total moment at 0.0 μB per formula unit.

Lattice parameters (Å, degrees): 5.3583 5.3583 5.0755 90.00 90.00 90.00
Closest atoms and distances in Å follow each position.
Space group P4/mmm (No. 123)
One atom of each set of equivalent atoms:
Li 0.0000 0.0000 0.0000 [1 per cell]  8 Tl 3.69, 4 Sc 3.79
Sc 0.5000 0.5000 0.0000 [1 per cell]  2 Ge 2.54
Tl 0.0000 0.5000 0.5000 [2 per cell]  2 Ge 2.68
Ge 0.5000 0.5000 0.5000 [1 per cell]  2 Sc 2.54, 4 Tl 2.68



Record 9
Entry from Alexandria: a relaxed Li2ScZnGe crystal (GGA-PBEsol).

The energy of formation comes out at 1.0450 eV per atom. Its density of states at the Fermi level is 3.5 states/eV/f.u. As for the crystal system: tetragonal. Its volume is 124 Å³ per cell. The calculation puts the total moment at 0.0 μB per formula unit.

Lattice parameters (Å, degrees): 5.0411 5.0411 4.8930 90.00 90.00 90.00
Closest atoms and distances in Å follow each position.
Space group P4/mmm (No. 123)
One atom of each set of equivalent atoms:
Li 0.0000 0.5000 0.0000 [2 per cell]  2 Sc 2.52
Sc 0.0000 0.0000 0.0000 [1 per cell]  2 Zn 2.45, 4 Li 2.52
Zn 0.0000 0.0000 0.5000 [1 per cell]  2 Sc 2.45
Ge 0.5000 0.5000 0.5000 [1 per cell]  8 Li 3.51, 4 Zn 3.56



Record 10
Entry from Alexandria: a relaxed LiTl2SiGe crystal (GGA-PBEsol).

Its density of states at the Fermi level is 2.6 states/eV/f.u. The final energy is -15.47 eV per cell. As for the crystal system: tetragonal. Its volume is 146 Å³ per cell. The calculation puts the total moment at 0.0 μB per formula unit.

Lattice parameters (Å, degrees): 5.4724 5.4724 4.8657 90.00 90.00 90.00
Closest atoms and distances in Å follow each position.
Space group P4/mmm (No. 123)
One atom of each set of equivalent atoms:
Li 0.0000 0.0000 0.0000 [1 per cell]  8 Tl 3.66, 4 Si 3.87
Tl 0.0000 0.5000 0.5000 [2 per cell]  2 Ge 2.74
Si 0.5000 0.5000 0.0000 [1 per cell]  2 Ge 2.43
Ge 0.5000 0.5000 0.5000 [1 per cell]  2 Si 2.43



Record 11
Entry from Alexandria: a relaxed LiSmGe2 crystal (GGA-PBEsol).

The energy of formation comes out at -0.6993 eV per atom. Its density of states at the Fermi level is 1.3 states/eV/f.u. As for the crystal system: orthorhombic. Its volume is 312 Å³ per cell. The calculation puts the total moment at 0.0 μB per formula unit.

Lattice parameters (Å, degrees): 7.6789 3.8879 10.4363 90.00 90.00 90.00
Closest atoms and distances in Å follow each position.
Space group Pnma (No. 62)
One atom of each set of equivalent atoms:
Li 0.0133 0.2500 0.1074 [4 per cell]  5 Ge 2.50-2.69
Sm 0.1396 0.7500 0.3643 [4 per cell]  9 Ge 3.02-3.36
Ge 0.1526 0.7500 0.6861 [4 per cell]  2 Ge 2.50, 2 Li 2.50-2.69
Ge 0.2281 0.7500 0.0642 [4 per cell]  2 Ge 2.50, 3 Li 2.58-2.59



Record 12
Entry from Alexandria: a relaxed Li3SnGe crystal (GGA-PBEsol).

The energy of formation comes out at 0.3301 eV per atom. Its density of states at the Fermi level is 2.3 states/eV/f.u. As for the crystal system: cubic. Its volume is 120 Å³ per cell. The calculation puts the total moment at 0.0 μB per formula unit.

Lattice parameters (Å, degrees): 4.9349 4.9349 4.9349 90.00 90.00 90.00
Closest atoms and distances in Å follow each position.
Space group Pm-3m (No. 221)
One atom of each set of equivalent atoms:
Li 0.0000 0.0000 0.5000 [3 per cell]  2 Sn 2.47
Sn 0.0000 0.0000 0.0000 [1 per cell]  6 Li 2.47
Ge 0.5000 0.5000 0.5000 [1 per cell]  12 Li 3.49



Record 13
Entry from Alexandria: a relaxed Li3SnGe crystal (GGA-PBEsol).

The energy of formation comes out at 0.0395 eV per atom. Its density of states at the Fermi level is 2.1 states/eV/f.u. As for the crystal system: cubic. Its volume is 104 Å³ per cell. The calculation puts the total moment at 0.0 μB per formula unit.

Lattice parameters (Å, degrees): 4.7049 4.7049 4.7049 90.00 90.00 90.00
Closest atoms and distances in Å follow each position.
Space group Pm-3m (No. 221)
One atom of each set of equivalent atoms:
Li 0.0000 0.0000 0.5000 [3 per cell]  2 Ge 2.35
Sn 0.5000 0.5000 0.5000 [1 per cell]  12 Li 3.33
Ge 0.0000 0.0000 0.0000 [1 per cell]  6 Li 2.35



Record 14
Entry from Alexandria: a relaxed Sr2LiGe3 crystal (GGA-PBEsol).

The energy of formation comes out at -0.5870 eV per atom. Its density of states at the Fermi level is 1.5 states/eV/f.u. As for the crystal system: orthorhombic. Its volume is 2328 Å³ per cell. The calculation puts the total moment at 0.0 μB per formula unit.

Lattice parameters (Å, degrees): 8.6203 14.9845 18.0242 90.00 90.00 90.00
Closest atoms and distances in Å follow each position.
Space group Fddd (No. 70, origin choice 2)
One atom of each set of equivalent atoms:
Sr 0.1250 0.1250 0.0012 [16 per cell]  8 Ge 3.32-3.38, 4 Li 3.35-3.37
Sr 0.1250 0.1250 0.5028 [16 per cell]  10 Ge 3.29-3.43, 2 Li 3.39
Li 0.1250 0.2921 0.1250 [16 per cell]  3 Ge 2.49-2.51
Ge 0.1235 0.2918 0.8775 [32 per cell]  2 Ge 2.48-2.50, 1 Li 2.51
Ge 0.1250 0.2917 0.6250 [16 per cell]  2 Ge 2.48, 1 Li 2.49



Record 15
Entry from Alexandria: a relaxed Sr2LiGe3 crystal (GGA-PBEsol).

The energy of formation comes out at -0.5910 eV per atom. Its density of states at the Fermi level is 1.3 states/eV/f.u. As for the crystal system: orthorhombic. Its volume is 590 Å³ per cell. The calculation puts the total moment at 0.0 μB per formula unit.

Lattice parameters (Å, degrees): 11.0133 11.7381 4.5647 90.00 90.00 90.00
Closest atoms and distances in Å follow each position.
Space group Pnnm (No. 58)
One atom of each set of equivalent atoms:
Sr 0.0499 0.1505 0.0000 [4 per cell]  7 Ge 3.06-3.28
Sr 0.1787 0.4280 0.5000 [4 per cell]  9 Ge 3.27-3.49, 1 Li 3.40
Li 0.1395 0.7153 0.5000 [4 per cell]  5 Ge 2.76-2.90
Ge 0.0323 0.6006 0.0000 [4 per cell]  2 Ge 2.47-2.48
Ge 0.1101 0.9581 0.5000 [4 per cell]  2 Ge 2.58-2.62, 1 Li 2.87
Ge 0.2460 0.1375 0.5000 [4 per cell]  2 Ge 2.48-2.58, 2 Li 2.76



Record 16
Entry from Alexandria: a relaxed SrLi3Ge crystal (GGA-PBEsol).

The energy of formation comes out at -0.2080 eV per atom. Its density of states at the Fermi level is 1.6 states/eV/f.u. As for the crystal system: cubic. Its volume is 117 Å³ per cell. The calculation puts the total moment at 0.0 μB per formula unit.

Lattice parameters (Å, degrees): 4.8973 4.8973 4.8973 90.00 90.00 90.00
Closest atoms and distances in Å follow each position.
Space group Pm-3m (No. 221)
One atom of each set of equivalent atoms:
Sr 0.0000 0.0000 0.0000 [1 per cell]  12 Li 3.46
Li 0.0000 0.5000 0.5000 [3 per cell]  2 Ge 2.45
Ge 0.5000 0.5000 0.5000 [1 per cell]  6 Li 2.45



Record 17
Entry from Alexandria: a relaxed Sr2LiGe3 crystal (GGA-PBEsol).

The energy of formation comes out at -0.5887 eV per atom. Its density of states at the Fermi level is 1.3 states/eV/f.u. As for the crystal system: orthorhombic. Its volume is 1164 Å³ per cell. The calculation puts the total moment at 0.0 μB per formula unit.

Lattice parameters (Å, degrees): 8.6598 9.0204 14.9055 90.00 90.00 90.00
Closest atoms and distances in Å follow each position.
Space group Fmmm (No. 69)
One atom of each set of equivalent atoms:
Sr 0.0000 0.2423 0.0000 [8 per cell]  10 Ge 3.30-3.40, 2 Li 3.40
Sr 0.2500 0.2500 0.2500 [8 per cell]  8 Ge 3.36-3.37, 4 Li 3.37
Li 0.0000 0.0000 0.3336 [8 per cell]  3 Ge 2.49-2.50
Ge 0.0000 0.0000 0.1661 [8 per cell]  1 Li 2.50, 2 Ge 2.50
Ge 0.2491 0.0000 0.4171 [16 per cell]  2 Ge 2.47-2.50, 1 Li 2.49



Record 18
Entry from Alexandria: a relaxed Sr2LiTcGe crystal (GGA-PBEsol).

The energy of formation comes out at 0.8382 eV per atom. Its density of states at the Fermi level is 5.5 states/eV/f.u. As for the crystal system: tetragonal. Its volume is 138 Å³ per cell. The calculation puts the total moment at 0.0 μB per formula unit.

Lattice parameters (Å, degrees): 5.3544 5.3544 4.8177 90.00 90.00 90.00
Closest atoms and distances in Å follow each position.
Space group P4/mmm (No. 123)
One atom of each set of equivalent atoms:
Sr 0.0000 0.5000 0.0000 [2 per cell]  2 Tc 2.68
Li 0.0000 0.0000 0.5000 [1 per cell]  2 Tc 2.41
Tc 0.0000 0.0000 0.0000 [1 per cell]  2 Li 2.41, 4 Sr 2.68
Ge 0.5000 0.5000 0.5000 [1 per cell]  8 Sr 3.60, 4 Li 3.79



Record 19
Entry from Alexandria: a relaxed Li2TaGe2 crystal (GGA-PBEsol).

The energy of formation comes out at 0.1563 eV per atom. Its density of states at the Fermi level is 1.7 states/eV/f.u. As for the crystal system: tetragonal. Its volume is 141 Å³ per cell. The calculation puts the total moment at 0.0 μB per formula unit.

Lattice parameters (Å, degrees): 4.2002 4.2002 8.0024 90.00 90.00 90.00
Closest atoms and distances in Å follow each position.
Space group I4/mmm (No. 139)
One atom of each set of equivalent atoms:
Li 0.0000 0.0000 0.1235 [4 per cell]  1 Li 1.98
Ta 0.0000 0.0000 0.5000 [2 per cell]  8 Ge 2.90, 10 Li 3.01-3.13
Ge 0.0000 0.5000 0.2500 [4 per cell]  4 Li 2.33



Record 20
Entry from Alexandria: a relaxed LiTbGe crystal (GGA-PBEsol).

The energy of formation comes out at -0.7398 eV per atom. Its density of states at the Fermi level is 0.3 states/eV/f.u. As for the crystal system: hexagonal. Its volume is 179 Å³ per cell. The calculation puts the total moment at 0.0 μB per formula unit.

Lattice parameters (Å, degrees): 6.9832 6.9832 4.2342 90.00 90.00 120.00
Closest atoms and distances in Å follow each position.
Space group P-62m (No. 189)
One atom of each set of equivalent atoms:
Li 0.0000 0.2327 0.0000 [3 per cell]  4 Ge 2.67-2.75, 2 Li 2.81
Tb 0.0000 0.5743 0.5000 [3 per cell]  5 Ge 2.97, 2 Li 3.19
Ge 0.0000 0.0000 0.5000 [1 per cell]  6 Li 2.67, 3 Tb 2.97
Ge 0.3333 0.6667 0.0000 [2 per cell]  3 Li 2.75, 6 Tb 2.97